1.
DFT (SCAN) results for a PBEsol-optimized structure of KSb2Pt.

Calculated values
* relative energy among the computed polymorphs: 0.823 eV/atom

a = 7.2298 Å, b = 7.2298 Å, c = 7.2298 Å
α = 90.00°, β = 90.00°, γ = 90.00°
Closest atoms and distances in Å follow each position.
Space group F-43m (No. 216)
Unique sites:
K (0.0000, 0.0000, 0.0000) [4 per cell]  4 Sb 3.13, 4 Pt 3.13
Sb (0.0000, 0.0000, 0.5000) [4 per cell]  4 Sb 3.13, 4 Pt 3.13
Sb (0.2500, 0.2500, 0.7500) [4 per cell]  4 K 3.13, 4 Sb 3.13
Pt (0.2500, 0.2500, 0.2500) [4 per cell]  4 K 3.13, 4 Sb 3.13

2.
DFT (SCAN) results for a PBEsol-optimized structure of KSb2Pt.

Calculated values
* relative energy among the computed polymorphs: 0.658 eV/atom

a = 7.1158 Å, b = 7.1158 Å, c = 7.1158 Å
α = 90.00°, β = 90.00°, γ = 90.00°
Closest atoms and distances in Å follow each position.
Space group Fm-3m (No. 225)
Unique sites:
K (0.0000, 0.0000, 0.0000) [4 per cell]  8 Sb 3.08
Sb (0.2500, 0.2500, 0.2500) [8 per cell]  4 K 3.08, 4 Pt 3.08
Pt (0.0000, 0.0000, 0.5000) [4 per cell]  8 Sb 3.08

3.
DFT (SCAN) results for a PBEsol-optimized structure of KSbPt.

Calculated values
* relative energy among the computed polymorphs: 0.059 eV/atom

a = 3.6408 Å, b = 3.6408 Å, c = 12.0119 Å
α = 90.00°, β = 90.00°, γ = 90.00°
Closest atoms and distances in Å follow each position.
Space group I4mm (No. 107)
Unique sites:
K (0.0000, 0.0000, 0.0000) [2 per cell]  5 Sb 3.38-3.68, 5 Pt 3.42-3.65, 4 K 3.64
Sb (0.0000, 0.0000, 0.7187) [2 per cell]  4 Pt 2.69
Pt (0.0000, 0.0000, 0.2844) [2 per cell]  4 Sb 2.69

4.
DFT (SCAN) results for a PBEsol-optimized structure of KSb2Pt.

Calculated values
* relative energy among the computed polymorphs: 0.391 eV/atom

a = 3.5143 Å, b = 3.6646 Å, c = 7.8573 Å
α = 90.00°, β = 90.00°, γ = 90.00°
Closest atoms and distances in Å follow each position.
Space group Pmmm (No. 47)
Unique sites:
K (0.0000, 0.0000, 0.0000) [1 per cell]  4 K 3.51-3.66, 8 Sb 3.59, 2 Pt 3.93
Sb (0.5000, 0.5000, 0.3230) [2 per cell]  1 Sb 2.78, 4 Pt 2.89
Pt (0.0000, 0.0000, 0.5000) [1 per cell]  8 Sb 2.89

Raw formation energy, respectively: 209.3, 44.2, -477.9, -222.6 meV/atom.
Size of the total moment, respectively: 0.0, 0.0, 0.0, 0.0 μB/f.u..
Calculated volume, respectively: 23.62, 22.52, 26.54, 25.30 Å³ per atom.